[1]
This record from Alexandria describes a geometry-optimized PmDyPd2 structure. The functional is PBE.

Structure (POSCAR):
```
PmDyPd2
1.0
-3.1765 0.5463 2.6122
-0.6759 -2.7358 3.0448
2.6642 2.8135 5.9459
Pm Pd Dy
1 2 1
Cartesian
-0.5941 0.3121 5.8015
-0.8475 0.5073 8.7471
-0.3407 0.1168 2.8558
0.0000 0.0000 0.0000
```

Calculated total energy (eV per atom): -5.650
ΔE_f (eV per atom): -0.72
Relative energy among the computed polymorphs (meV per atom): 156

=====

[2]
This record from Alexandria describes a geometry-optimized AcPr4Ho3 structure. The functional is PBE.

Structure (POSCAR):
```
AcPr4Ho3
1.0
-1.9317 -2.7011 -4.0148
-1.3298 -3.8646 3.2398
-7.6054 7.7012 1.8669
Pr Ac Ho
4 1 3
Cartesian
-4.0123 -2.1439 -0.0065
-6.8546 3.2795 1.0984
-8.4873 -0.0028 0.7109
-2.3797 1.1383 0.3810
-0.6649 -1.9323 1.6199
-0.9658 -1.3505 -2.0074
-5.6097 0.8707 -1.2639
-5.2572 0.2648 2.3558
```

Calculated total energy (eV per atom): -4.591
ΔE_f (eV per atom): 0.03

=====

[3]
This record from Alexandria describes a geometry-optimized MnAsOs2 structure. The functional is PBE.

Structure (POSCAR):
```
MnAsOs2
1.0
-1.5963 -2.4391 -3.2365
2.1380 -3.5660 -1.2981
-1.6323 -3.9480 0.8493
As Mn Os
1 1 2
Cartesian
-0.5453 -4.9765 -1.8427
-0.8179 -7.4648 -2.7640
0.0000 0.0000 0.0000
-0.2726 -2.4883 -0.9213
```

Calculated total energy (eV per atom): -8.530
ΔE_f (eV per atom): 0.54

=====

[4]
This record from Alexandria describes a geometry-optimized Pm2MgCo3Ge4 structure. The functional is PBE.

Structure (POSCAR):
```
Pm2MgCo3Ge4
1.0
4.1594 0.0000 0.0000
0.0000 4.1594 0.0000
0.0000 0.0000 10.1590
Pm Mg Co Ge
2 1 3 4
Cartesian
2.0797 0.0000 2.3701
0.0000 2.0797 7.7890
2.0797 2.0797 5.0795
0.0000 0.0000 5.0795
2.0797 0.0000 8.9879
0.0000 2.0797 1.1711
2.0797 2.0797 0.0000
0.0000 0.0000 0.0000
2.0797 0.0000 6.6467
0.0000 2.0797 3.5124
```

Calculated total energy (eV per atom): -5.609
ΔE_f (eV per atom): -0.52

=====

[5]
This record from Alexandria describes a geometry-optimized AlCoTc2H structure. The functional is PBE.

Structure (POSCAR):
```
AlCoTc2H
1.0
3.8426 0.0000 0.0000
0.0000 3.8426 0.0000
0.0000 0.0000 3.8184
H Co Tc Al
1 1 2 1
Cartesian
0.0000 0.0000 0.0000
0.0000 0.0000 1.9092
0.0000 1.9213 0.0000
1.9213 0.0000 0.0000
1.9213 1.9213 1.9092
```

Calculated total energy (eV per atom): -6.996

=====

[6]
This record from Alexandria describes a geometry-optimized NdSi2Au6 structure. The functional is PBE.

Structure (POSCAR):
```
NdSi2Au6
1.0
-2.5388 1.1075 3.4201
1.8923 -3.1482 2.4242
6.0946 5.7207 2.6717
Nd Si Au
1 2 6
Cartesian
0.0000 0.0000 0.0000
0.4965 -0.2509 3.2815
4.9516 3.9309 5.2345
2.6113 -0.0111 1.9420
0.3958 2.1167 2.4400
5.3756 2.5836 3.1538
3.1601 4.7114 3.6518
2.7241 1.8400 4.2580
3.0473 2.8603 1.3358
```

Calculated total energy (eV per atom): -4.274
ΔE_f (raw) (eV per formula unit): -3.185

=====

[7]
This record from Alexandria describes a geometry-optimized HfRhSCl2 structure. The functional is PBE.

Structure (POSCAR):
```
HfRhSCl2
1.0
-4.3095 -1.3593 1.9453
2.2862 -3.4597 2.6472
0.6399 3.2396 3.6813
Rh S Hf Cl
1 1 1 2
Cartesian
-0.6917 -0.7897 4.1369
0.3199 1.6198 1.8407
0.0000 0.0000 0.0000
1.1431 -1.7298 1.3236
-2.1547 -0.6796 0.9726
```

Calculated total energy (eV per atom): -5.293
ΔE_f (raw) (eV per formula unit): -1.340
Relative energy among the computed polymorphs (meV per atom): 0

=====

[8]
This record from Alexandria describes a geometry-optimized Tb8Er5Tm structure. The functional is PBE.

Structure (POSCAR):
```
Tb8Er5Tm
1.0
-8.0932 -1.4718 -1.6451
4.4403 0.5986 -7.0919
2.6925 -6.4122 4.6910
Tb Er Tm
8 5 1
Cartesian
2.1566 -0.3011 -5.1231
-5.3102 -5.5250 0.9655
-3.8725 -3.0769 -1.4360
-1.1473 -6.6359 0.4236
-0.8333 -2.1389 -3.8941
1.6789 -5.6596 -3.5050
-0.4459 -3.0851 -0.4293
3.9324 -2.7191 -3.1853
1.4899 -0.7147 -1.6878
-2.5145 -1.9215 -6.9523
-1.6394 -5.3869 -2.8156
-2.7003 -3.9420 1.5230
0.7433 -6.5478 3.3637
2.2163 -4.8778 -0.4390
```

Calculated total energy (eV per atom): -4.335
ΔE_f (eV per atom): 0.26

=====

- Look up the calculated total energy of the first one.
  -5.650 eV per atom